A plane-wave DFT calculation with PBE-GGA was carried out for a geometry-optimized BeGaAg3 structure.

Computed properties:
Its crystal system is cubic. As for the energy above the most stable polymorph in this dataset: 547 meV per atom.

```
BeGaAg3
1.0
4.8309 0.0000 0.0000
0.0000 4.8309 0.0000
0.0000 0.0000 4.8309
Be Ga Ag
1 1 3
direct
0.0000 0.0000 0.0000
0.5000 0.5000 0.5000
0.0000 0.5000 0.5000
0.5000 0.0000 0.5000
0.5000 0.5000 0.0000
```